The following is a GGA-PBE calculation of an optimized crystal structure of MgTaIr2, from the Alexandria database.

Symmetry: F-43m, No. 216
ΔH_f (0 K) (eV per atom): 0.02
E (eV per atom): -7.7769
N(E_F) (states/eV per cell): 6.105
Polymorph energy (0 for the lowest one) (meV per atom): 620
Magnetic moment (μB per formula unit): 0.00

a b c (Å): 4.4825 4.4825 4.4825
angles (deg): 60.00 60.00 60.00
Sites, in units of the cell vectors:
Ir 0.0000 0.0000 0.0000
Ir 0.2500 0.2500 0.2500
Mg 0.5000 0.5000 0.5000
Ta 0.7500 0.7500 0.7500